Record 1
Entry from Alexandria via LeMat-Bulk: a relaxed structure of CoNi (PBE).

Values from the calculation:
- Raw total energy: -74.406 eV/cell
- DFT formation energy: 0.49 eV/f.u.
- N(E_F): 2.49 states/eV/f.u.
- V: 11.762 A^3/atom
- Crystal system: hexagonal

```
12
Lattice="8.172 0.000 0.000 -4.086 7.077 0.000 0.000 0.000 2.441" Properties=species:S:1:pos:R:3 pbc="T T T"
Ni 3.366 5.082 0.610
Co -0.984 3.739 1.830
Co 1.340 4.355 1.830
Ni 2.087 0.374 0.610
Co 5.070 3.338 0.610
Ni -2.719 5.456 1.830
Ni 0.720 1.995 1.830
Co 4.442 1.017 0.610
Ni 6.805 1.621 0.610
Co 2.746 2.722 0.610
Co -0.356 6.060 1.830
Ni 1.998 6.703 1.830
```

=====

Record 2
Entry from Alexandria via LeMat-Bulk: a relaxed structure of SrSi2PS8 (PBE).

Values from the calculation:
- Raw total energy: -56.858 eV/cell
- N(E_F): 8.45 states/eV/f.u.
- ΔE_f (raw): -492 meV/atom
- V: 20.981 A^3/atom
- Crystal system: trigonal

```
12
Lattice="5.892 0.000 0.000 -2.946 5.103 0.000 0.000 0.000 8.375" Properties=species:S:1:pos:R:3 pbc="T T T"
Si 2.946 1.701 2.301
S 1.788 0.064 5.605
S 0.000 3.402 8.180
P 0.000 0.000 4.187
S 4.942 1.517 5.605
S -1.996 3.586 2.770
S 0.839 1.581 2.770
Sr 0.000 0.000 0.000
Si 0.000 3.402 6.074
S 2.107 3.522 5.605
S 2.946 1.701 0.194
S 1.158 5.038 2.770
```

=====

Record 3
Entry from Alexandria via LeMat-Bulk: a relaxed structure of Li6Cd3Ag (PBE).

Values from the calculation:
- Raw total energy: -38.397 eV/cell
- DFT formation energy: -2.12 eV/f.u.
- N(E_F): 3.95 states/eV/f.u.
- V: 17.693 A^3/atom
- Crystal system: monoclinic

```
20
Lattice="4.677 0.000 0.000 0.000 7.593 -2.332 0.000 0.247 9.889" Properties=species:S:1:pos:R:3 pbc="T T T"
Cd 1.169 2.842 7.084
Cd 3.508 3.556 4.876
Li 3.508 7.247 -1.148
Li 3.508 6.668 5.978
Li 1.169 1.172 1.578
Li 1.169 5.132 5.376
Cd 3.508 2.108 9.308
Cd 1.169 5.731 -1.752
Ag 3.508 0.486 3.836
Cd 3.508 4.997 0.473
Li 3.508 5.905 3.192
Cd 1.169 4.284 2.681
Ag 1.169 7.354 3.720
Li 3.508 4.383 7.622
Li 1.169 0.593 8.705
Li 1.169 3.456 -0.065
Li 3.508 1.249 6.498
Li 3.508 2.707 2.181
Li 1.169 1.935 4.365
Li 1.169 6.590 1.058
```

=====

Record 4
Entry from Alexandria via LeMat-Bulk: a relaxed structure of ZrTe2Se (PBE).

Values from the calculation:
- Raw total energy: -19.861 eV/cell
- N(E_F): 3.58 states/eV/f.u.
- ΔE_f (raw): -386 meV/atom
- V: 30.240 A^3/atom
- Crystal system: trigonal

```
4
Lattice="2.259 0.000 9.121 -1.130 1.957 9.121 -1.130 -1.957 9.121" Properties=species:S:1:pos:R:3 pbc="T T T"
Te 0.000 0.000 2.719
Zr 0.000 0.000 13.681
Te 0.000 0.000 24.644
Se 0.000 0.000 0.000
```

=====

Record 5
Entry from Alexandria via LeMat-Bulk: a relaxed structure of KTl5Br7 (PBE).

Values from the calculation:
- Raw total energy: -72.964 eV/cell
- N(E_F): 8.10 states/eV/f.u.
- ΔE_f (raw): -911 meV/atom
- V: 37.631 A^3/atom
- Crystal system: monoclinic

```
26
Lattice="4.631 0.000 0.000 -2.316 7.677 0.011 0.000 -0.027 27.520" Properties=species:S:1:pos:R:3 pbc="T T T"
Tl 2.316 0.648 9.596
Tl 2.316 0.649 4.167
Br 2.316 4.831 18.673
Br 2.316 6.275 10.715
Br 2.316 0.737 20.640
Br 0.000 2.824 4.915
Br 2.316 2.115 1.044
Br 2.316 6.278 3.064
Br 0.000 5.547 26.491
Br 2.316 2.101 12.722
Br 2.316 4.836 22.615
Br 0.000 6.923 6.892
Tl 0.000 7.011 17.935
K 2.316 4.520 6.884
Tl 2.316 3.437 25.412
Tl 0.000 4.224 2.119
Tl 0.000 -0.013 13.759
Br 0.000 2.825 8.851
Tl 0.000 4.215 11.652
Br 0.000 1.382 24.472
Tl 0.000 7.011 23.365
K 0.000 3.141 20.645
Tl 0.000 0.007 0.003
Br 0.000 1.382 16.811
Tl 2.316 3.439 15.874
Br 0.000 5.552 14.807
```

=====

Record 6
Entry from Alexandria via LeMat-Bulk: a relaxed structure of RuPt2Se (PBE).

Values from the calculation:
- Raw total energy: -23.385 eV/cell
- N(E_F): 5.02 states/eV/f.u.
- ΔE_f (raw): 364 meV/atom
- V: 16.071 A^3/atom
- Crystal system: tetragonal

```
4
Lattice="4.828 0.000 0.000 0.000 4.828 0.000 0.000 0.000 2.758" Properties=species:S:1:pos:R:3 pbc="T T T"
Pt 0.000 0.000 0.000
Pt 2.414 2.414 0.000
Ru 2.414 0.000 1.379
Se 0.000 2.414 1.379
```

=====

Record 7
Entry from Alexandria via LeMat-Bulk: a relaxed structure of Sm7ScCd4 (PBE).

Values from the calculation:
- Raw total energy: -43.265 eV/cell
- DFT formation energy: -0.24 eV/f.u.
- N(E_F): 13.35 states/eV/f.u.
- V: 29.691 A^3/atom
- Crystal system: monoclinic

```
12
Lattice="5.716 0.000 0.000 2.858 8.594 0.968 2.858 1.112 7.378" Properties=species:S:1:pos:R:3 pbc="T T T"
Cd 2.858 2.983 0.445
Cd 5.716 6.526 3.451
Sm 2.858 0.000 0.000
Sm 8.574 4.334 5.803
Sm 5.716 2.810 1.890
Sm 2.858 1.542 3.631
Sm 2.858 5.372 2.543
Sc 0.000 0.000 0.000
Sm 8.574 8.163 4.716
Sm 5.716 6.896 6.456
Cd 5.716 3.179 4.896
Cd 8.574 6.723 7.901
```

=====

Record 8
Entry from Alexandria via LeMat-Bulk: a relaxed structure of La4Pt3Rh (PBE).

Values from the calculation:
- Raw total energy: -53.928 eV/cell
- DFT formation energy: -8.74 eV/f.u.
- N(E_F): 5.15 states/eV/f.u.
- V: 25.057 A^3/atom
- Crystal system: orthorhombic

```
8
Lattice="-3.499 -1.929 0.142 -0.072 -0.200 -4.500 5.382 -9.738 0.348" Properties=species:S:1:pos:R:3 pbc="T T T"
La 0.133 -4.535 -2.055
La 0.724 -1.310 0.047
Pt 3.146 -5.858 -2.044
Pt 3.152 -9.832 0.387
Rh -1.266 -2.004 -2.146
La 4.633 -8.547 -1.948
Pt 2.205 -3.989 0.142
La 1.661 -7.134 0.291
```